Density functional theory data (PBE) for crystalline TiTl2Cl4F2 at its relaxed geometry.

Raw formation energy   -1.83 eV per atom

```
TiTl2Cl4F2
1.0
5.694 -0.136 -0.092
1.109 6.585 0.184
1.109 2.589 6.057
Ti Tl Cl F
1 2 4 2
Direct
0.500 0.000 0.000
0.215 0.673 0.673
0.785 0.327 0.327
0.308 0.662 0.144
0.692 0.856 0.338
0.692 0.338 0.856
0.308 0.144 0.662
0.250 0.128 0.128
0.750 0.872 0.872
```

Density functional theory data (PBE) for crystalline Dy2BeIr2 at its relaxed geometry.

Formation enthalpy at 0 K   -0.755 eV/atom

```
Dy2BeIr2
1.0
-5.083 0.715 2.512
-4.160 -3.915 -0.164
1.044 -3.393 6.231
Dy Be Ir
4 2 4
Direct
0.488 0.218 0.147
0.782 0.512 0.353
0.512 0.782 0.853
0.218 0.488 0.647
0.093 0.907 0.250
0.907 0.093 0.750
0.739 0.005 0.511
0.995 0.261 0.989
0.261 0.995 0.489
0.005 0.739 0.011
```

Density functional theory data (PBE) for crystalline NaCa2Bi at its relaxed geometry.

Formation enthalpy at 0 K   -0.404 eV/atom

```
NaCa2Bi
1.0
-3.621 0.983 1.878
-2.116 -1.461 -3.316
-0.226 -7.030 3.242
Na Ca Bi
1 2 1
Direct
0.500 0.500 0.000
0.000 0.000 0.717
0.000 0.000 0.283
0.500 0.500 0.500
```

Density functional theory data (PBE) for crystalline Dy4Cu2Pt at its relaxed geometry.

Formation enthalpy at 0 K   -0.428 eV/atom

```
Dy4Cu2Pt
1.0
4.663 0.000 1.457
2.104 4.162 1.457
-0.091 -0.056 8.482
Pt Cu Dy
1 2 4
Direct
0.000 0.000 0.000
0.753 0.753 0.742
0.247 0.247 0.258
0.875 0.875 0.376
0.125 0.125 0.624
0.624 0.624 0.127
0.376 0.376 0.873
```

Density functional theory data (PBE) for crystalline Li2MnRh at its relaxed geometry.

Formation enthalpy at 0 K   -0.056 eV/atom

```
Li2MnRh
1.0
5.138 0.015 0.024
2.527 4.473 -0.024
-3.419 -2.950 2.451
Mn Rh Li
1 1 2
Direct
0.750 0.250 0.500
0.250 0.750 0.500
0.009 0.009 0.000
0.491 0.491 0.000
```

Density functional theory data (PBE) for crystalline Mn2I4Br at its relaxed geometry.

Raw formation energy   -0.22 eV per atom

```
Mn2I4Br
1.0
8.178 0.002 4.120
4.270 7.924 1.703
0.537 -0.383 9.112
Mn I Br
4 8 2
Direct
0.433 0.692 0.191
0.316 0.308 0.809
0.875 0.795 0.707
0.378 0.204 0.293
0.181 0.242 0.643
0.683 0.145 0.741
0.066 0.758 0.357
0.607 0.348 0.212
0.167 0.652 0.788
0.569 0.855 0.258
0.144 0.285 0.153
0.583 0.715 0.847
0.788 0.500 0.500
0.961 0.000 0.000
```

Density functional theory data (PBE) for crystalline Cd7GaHg2 at its relaxed geometry.

Formation enthalpy at 0 K   0.044 eV/atom

```
Cd7GaHg2
1.0
7.001 0.000 3.414
3.325 7.858 2.066
0.147 -1.335 8.584
Cd Ga Hg
14 2 4
Direct
0.777 0.559 0.696
0.968 0.059 0.196
0.395 0.904 0.884
0.512 0.228 0.490
0.689 0.250 0.750
0.817 0.404 0.384
0.230 0.272 0.010
0.770 0.728 0.990
0.183 0.596 0.616
0.311 0.750 0.250
0.488 0.772 0.510
0.605 0.096 0.116
0.032 0.941 0.804
0.223 0.441 0.304
0.108 0.250 0.750
0.892 0.750 0.250
0.801 0.909 0.583
0.707 0.409 0.083
0.293 0.591 0.917
0.199 0.091 0.417
```

Density functional theory data (PBE) for crystalline KCdIn2Ru at its relaxed geometry.

Formation enthalpy at 0 K   -0.058 eV/atom

```
KCdIn2Ru
1.0
-2.319 2.878 3.653
1.882 -3.152 3.678
4.389 3.060 0.376
Ru K Cd In
1 1 1 2
Direct
0.000 0.000 0.000
0.500 0.500 0.500
0.000 0.000 0.500
0.000 0.500 0.000
0.500 0.000 0.000
```

no.,calculated total energy (eV per atom),volume (Å³/f.u.),ρ (kg/m3)
1,-4.47,225.7,4683
2,-6.89,95.5,12493
3,-2.70,136.4,3801
4,-5.09,165.4,9762
5,-5.14,56.1,5087
6,-3.97,285.7,4053
7,-0.96,236.2,8842
8,-3.41,144.9,5528